No. 1
# PrDy3Y7, optimized geometry, DFT PBE
# ρ (g cm⁻³): 5.7
# Energy of formation from the pure elements (eV per formula unit): 1.57
# Volume (A^3/atom): 33.22
data_PrDy3Y7
_chemical_formula_sum 'Pr1 Dy3 Y7'
_cell_length_a 6.9398
_cell_length_b 5.5765
_cell_length_c 10.0013
_cell_angle_alpha 90.00
_cell_angle_beta 109.23
_cell_angle_gamma 90.00
_space_group_name_H-M_alt 'P 1 2/m 1'
_space_group_IT_number 10
loop_
_space_group_symop_operation_xyz
'x,y,z'
'-x,-y,-z'
'-x,y,-z'
'x,-y,z'
loop_
_atom_site_label
_atom_site_type_symbol
_atom_site_fract_x
_atom_site_fract_y
_atom_site_fract_z
Pr1 Pr 0.0000 0.0000 0.0000
Dy1 Dy 0.2771 0.5000 0.4960
Dy2 Dy 0.5000 0.0000 0.0000
Y1 Y 0.0000 0.0000 0.5000
Y2 Y 0.1479 0.5000 0.7881
Y3 Y 0.3232 0.5000 0.1403
Y4 Y 0.4258 0.0000 0.3313


No. 2
# Pr2Dy5Y12, optimized geometry, DFT PBE
# ρ (g cm⁻³): 5.7
# Energy of formation from the pure elements (eV per formula unit): 2.49
# Volume (A^3/atom): 33.28
data_Pr2Dy5Y12
_chemical_formula_sum 'Pr4 Dy10 Y24'
_cell_length_a 15.7314
_cell_length_b 9.3441
_cell_length_c 8.6064
_cell_angle_alpha 90.00
_cell_angle_beta 91.34
_cell_angle_gamma 90.00
_space_group_name_H-M_alt 'C 1 2/m 1'
_space_group_IT_number 12
loop_
_space_group_symop_operation_xyz
'x,y,z'
'-x,-y,-z'
'-x,y,-z'
'x,-y,z'
'x+1/2,y+1/2,z'
'-x+1/2,-y+1/2,-z'
'-x+1/2,y+1/2,-z'
'x+1/2,-y+1/2,z'
loop_
_atom_site_label
_atom_site_type_symbol
_atom_site_fract_x
_atom_site_fract_y
_atom_site_fract_z
Pr1 Pr 0.0000 0.1817 0.0000
Dy1 Dy 0.0000 0.5000 0.5000
Dy2 Dy 0.1987 0.0000 0.0118
Dy3 Dy 0.2313 0.5000 0.5758
Y1 Y 0.0577 0.0000 0.3288
Y2 Y 0.0893 0.5000 0.8790
Y3 Y 0.1274 0.1914 0.6534
Y4 Y 0.1546 0.3205 0.2419


No. 3
# Pr3Dy4Y, optimized geometry, DFT PBE
# ρ (g cm⁻³): 7.1
# Energy of formation from the pure elements (eV per formula unit): 0.20
# Volume (A^3/atom): 33.74
data_Pr3Dy4Y
_chemical_formula_sum 'Pr6 Dy8 Y2'
_cell_length_a 11.5761
_cell_length_b 7.3660
_cell_length_c 6.3306
_cell_angle_alpha 90.00
_cell_angle_beta 90.00
_cell_angle_gamma 90.00
_space_group_name_H-M_alt 'P m n 21'
_space_group_IT_number 31
loop_
_space_group_symop_operation_xyz
'x,y,z'
'-x+1/2,-y,z+1/2'
'-x,y,z'
'x+1/2,-y,z+1/2'
loop_
_atom_site_label
_atom_site_type_symbol
_atom_site_fract_x
_atom_site_fract_y
_atom_site_fract_z
Pr1 Pr 0.0000 0.1290 0.0000
Pr2 Pr 0.2495 0.8726 0.8367
Dy1 Dy 0.0000 0.3779 0.5004
Dy2 Dy 0.0000 0.6203 0.0005
Dy3 Dy 0.2482 0.6210 0.3337
Y1 Y 0.0000 0.8700 0.4976


No. 4
# PrDy4Y3, optimized geometry, DFT PBE
# ρ (g cm⁻³): 6.7
# Energy of formation from the pure elements (eV per formula unit): 0.08
# Volume (A^3/atom): 32.78
data_PrDy4Y3
_chemical_formula_sum 'Pr2 Dy8 Y6'
_cell_length_a 11.3581
_cell_length_b 7.3171
_cell_length_c 6.3108
_cell_angle_alpha 90.00
_cell_angle_beta 90.00
_cell_angle_gamma 90.00
_space_group_name_H-M_alt 'P m n 21'
_space_group_IT_number 31
loop_
_space_group_symop_operation_xyz
'x,y,z'
'-x+1/2,-y,z+1/2'
'-x,y,z'
'x+1/2,-y,z+1/2'
loop_
_atom_site_label
_atom_site_type_symbol
_atom_site_fract_x
_atom_site_fract_y
_atom_site_fract_z
Pr1 Pr 0.0000 0.1274 0.0000
Dy1 Dy 0.0000 0.3773 0.5051
Dy2 Dy 0.0000 0.6229 0.0036
Dy3 Dy 0.2484 0.6230 0.3358
Y1 Y 0.0000 0.8730 0.5004
Y2 Y 0.2500 0.1270 0.3367


No. 5
# PrDy4Y3, optimized geometry, DFT PBE
# ρ (g cm⁻³): 6.6
# Energy of formation from the pure elements (eV per formula unit): 1.41
# Volume (A^3/atom): 33.10
data_PrDy4Y3
_chemical_formula_sum 'Pr2 Dy8 Y6'
_cell_length_a 23.6120
_cell_length_b 3.4671
_cell_length_c 6.7484
_cell_angle_alpha 90.00
_cell_angle_beta 106.54
_cell_angle_gamma 90.00
_space_group_name_H-M_alt 'C 1 2/m 1'
_space_group_IT_number 12
loop_
_space_group_symop_operation_xyz
'x,y,z'
'-x,-y,-z'
'-x,y,-z'
'x,-y,z'
'x+1/2,y+1/2,z'
'-x+1/2,-y+1/2,-z'
'-x+1/2,y+1/2,-z'
'x+1/2,-y+1/2,z'
loop_
_atom_site_label
_atom_site_type_symbol
_atom_site_fract_x
_atom_site_fract_y
_atom_site_fract_z
Pr1 Pr 0.0000 0.0000 0.0000
Dy1 Dy 0.1255 0.5000 0.3712
Dy2 Dy 0.2401 0.0000 0.2466
Y1 Y 0.0000 0.5000 0.5000
Y2 Y 0.1274 0.5000 0.8842


No. 6
# Pr5DyY5, optimized geometry, DFT PBE
# ρ (g cm⁻³): 5.7
# Energy of formation from the pure elements (eV per formula unit): 2.80
# Volume (A^3/atom): 34.82
data_Pr5DyY5
_chemical_formula_sum 'Pr10 Dy2 Y10'
_cell_length_a 18.7905
_cell_length_b 6.1333
_cell_length_c 7.0156
_cell_angle_alpha 90.00
_cell_angle_beta 108.64
_cell_angle_gamma 90.00
_space_group_name_H-M_alt 'C 1 2/m 1'
_space_group_IT_number 12
loop_
_space_group_symop_operation_xyz
'x,y,z'
'-x,-y,-z'
'-x,y,-z'
'x,-y,z'
'x+1/2,y+1/2,z'
'-x+1/2,-y+1/2,-z'
'-x+1/2,y+1/2,-z'
'x+1/2,-y+1/2,z'
loop_
_atom_site_label
_atom_site_type_symbol
_atom_site_fract_x
_atom_site_fract_y
_atom_site_fract_z
Pr1 Pr 0.0000 0.0000 0.0000
Pr2 Pr 0.1264 0.5000 0.1466
Pr3 Pr 0.1730 0.5000 0.6914
Dy1 Dy 0.0000 0.0000 0.5000
Y1 Y 0.0000 0.5000 0.5000
Y2 Y 0.1732 0.0000 0.4200
Y3 Y 0.1772 0.0000 0.9141


No. 7
# Pr3Dy2Y6, optimized geometry, DFT PBE
# ρ (g cm⁻³): 5.7
# Energy of formation from the pure elements (eV per formula unit): 1.64
# Volume (A^3/atom): 33.70
data_Pr3Dy2Y6
_chemical_formula_sum 'Pr6 Dy4 Y12'
_cell_length_a 5.7872
_cell_length_b 12.2089
_cell_length_c 10.4938
_cell_angle_alpha 90.00
_cell_angle_beta 90.05
_cell_angle_gamma 90.00
_space_group_name_H-M_alt 'C 1 2/m 1'
_space_group_IT_number 12
loop_
_space_group_symop_operation_xyz
'x,y,z'
'-x,-y,-z'
'-x,y,-z'
'x,-y,z'
'x+1/2,y+1/2,z'
'-x+1/2,-y+1/2,-z'
'-x+1/2,y+1/2,-z'
'x+1/2,-y+1/2,z'
loop_
_atom_site_label
_atom_site_type_symbol
_atom_site_fract_x
_atom_site_fract_y
_atom_site_fract_z
Pr1 Pr 0.0000 0.0000 0.0000
Pr2 Pr 0.0000 0.2921 0.0000
Dy1 Dy 0.0000 0.3695 0.5000
Y1 Y 0.0005 0.1502 0.6943
Y2 Y 0.0005 0.5000 0.7897


No. 8
# Pr8DyY2, optimized geometry, DFT PBE
# ρ (g cm⁻³): 6.2
# Energy of formation from the pure elements (eV per formula unit): 1.19
# Volume (A^3/atom): 35.62
data_Pr8DyY2
_chemical_formula_sum 'Pr16 Dy2 Y4'
_cell_length_a 5.7786
_cell_length_b 8.3145
_cell_length_c 16.3114
_cell_angle_alpha 90.00
_cell_angle_beta 90.00
_cell_angle_gamma 90.00
_space_group_name_H-M_alt 'I m m m'
_space_group_IT_number 71
_space_group_name_Hall '-I 2 2'
loop_
_atom_site_label
_atom_site_type_symbol
_atom_site_fract_x
_atom_site_fract_y
_atom_site_fract_z
Pr1 Pr 0.0000 0.0000 0.1634
Pr2 Pr 0.0000 0.2040 0.3652
Pr3 Pr 0.0000 0.2915 0.0000
Dy1 Dy 0.0000 0.5000 0.5000
Y1 Y 0.0000 0.5000 0.2011


No. 9
# Pr3Dy5Y2, optimized geometry, DFT PBE
# ρ (g cm⁻³): 6.9
# Energy of formation from the pure elements (eV per formula unit): 1.91
# Volume (A^3/atom): 33.83
data_Pr3Dy5Y2
_chemical_formula_sum 'Pr12 Dy20 Y8'
_cell_length_a 10.7964
_cell_length_b 15.9425
_cell_length_c 9.5221
_cell_angle_alpha 90.00
_cell_angle_beta 124.34
_cell_angle_gamma 90.00
_space_group_name_H-M_alt 'C 1 2/c 1'
_space_group_IT_number 15
loop_
_space_group_symop_operation_xyz
'x,y,z'
'-x,-y,-z'
'-x,y,-z+1/2'
'x,-y,z+1/2'
'x+1/2,y+1/2,z'
'-x+1/2,-y+1/2,-z'
'-x+1/2,y+1/2,-z+1/2'
'x+1/2,-y+1/2,z+1/2'
loop_
_atom_site_label
_atom_site_type_symbol
_atom_site_fract_x
_atom_site_fract_y
_atom_site_fract_z
Pr1 Pr 0.0000 0.2329 0.2500
Pr2 Pr 0.1452 0.1242 0.0469
Dy1 Dy 0.0000 0.0251 0.2500
Dy2 Dy 0.0000 0.2711 0.7500
Dy3 Dy 0.0000 0.4698 0.7500
Dy4 Dy 0.2393 0.3865 0.2301
Y1 Y 0.1513 0.3827 0.5461


No. 10
# PrDy4Y, optimized geometry, DFT PBE
# ρ (g cm⁻³): 7.5
# Energy of formation from the pure elements (eV per formula unit): 0.48
# Volume (A^3/atom): 32.57
data_PrDy4Y
_chemical_formula_sum 'Pr4 Dy16 Y4'
_cell_length_a 8.7800
_cell_length_b 17.2452
_cell_length_c 6.3945
_cell_angle_alpha 90.00
_cell_angle_beta 126.17
_cell_angle_gamma 90.00
_space_group_name_H-M_alt 'C 1 2/c 1'
_space_group_IT_number 15
loop_
_space_group_symop_operation_xyz
'x,y,z'
'-x,-y,-z'
'-x,y,-z+1/2'
'x,-y,z+1/2'
'x+1/2,y+1/2,z'
'-x+1/2,-y+1/2,-z'
'-x+1/2,y+1/2,-z+1/2'
'x+1/2,-y+1/2,z+1/2'
loop_
_atom_site_label
_atom_site_type_symbol
_atom_site_fract_x
_atom_site_fract_y
_atom_site_fract_z
Pr1 Pr 0.0000 0.0551 0.2500
Dy1 Dy 0.0812 0.2402 0.5581
Dy2 Dy 0.2365 0.3912 0.9744
Y1 Y 0.0000 0.4235 0.2500


No. 11
# Pr3DyY2, optimized geometry, DFT PBE
# ρ (g cm⁻³): 6.2
# Energy of formation from the pure elements (eV per formula unit): -0.03
# Volume (A^3/atom): 33.88
data_Pr3DyY2
_chemical_formula_sum 'Pr12 Dy4 Y8'
_cell_length_a 10.9646
_cell_length_b 6.3312
_cell_length_c 11.7120
_cell_angle_alpha 90.00
_cell_angle_beta 90.00
_cell_angle_gamma 90.00
_space_group_name_H-M_alt 'C m c m'
_space_group_IT_number 63
_space_group_name_Hall '-C 2c 2'
loop_
_atom_site_label
_atom_site_type_symbol
_atom_site_fract_x
_atom_site_fract_y
_atom_site_fract_z
Pr1 Pr 0.0000 0.0000 0.0000
Pr2 Pr 0.1659 0.5000 0.0000
Dy1 Dy 0.0000 0.3334 0.2500
Y1 Y 0.1665 0.1670 0.7500


No. 12
# Pr2Dy3Y5, optimized geometry, DFT PBE
# ρ (g cm⁻³): 6.0
# Energy of formation from the pure elements (eV per formula unit): 1.82
# Volume (A^3/atom): 33.46
data_Pr2Dy3Y5
_chemical_formula_sum 'Pr8 Dy12 Y20'
_cell_length_a 10.7091
_cell_length_b 16.3481
_cell_length_c 9.3324
_cell_angle_alpha 90.00
_cell_angle_beta 125.01
_cell_angle_gamma 90.00
_space_group_name_H-M_alt 'C 1 2/c 1'
_space_group_IT_number 15
loop_
_space_group_symop_operation_xyz
'x,y,z'
'-x,-y,-z'
'-x,y,-z+1/2'
'x,-y,z+1/2'
'x+1/2,y+1/2,z'
'-x+1/2,-y+1/2,-z'
'-x+1/2,y+1/2,-z+1/2'
'x+1/2,-y+1/2,z+1/2'
loop_
_atom_site_label
_atom_site_type_symbol
_atom_site_fract_x
_atom_site_fract_y
_atom_site_fract_z
Pr1 Pr 0.1507 0.1253 0.0440
Dy1 Dy 0.0000 0.2756 0.7500
Dy2 Dy 0.1457 0.3722 0.5488
Y1 Y 0.0000 0.0247 0.2500
Y2 Y 0.0000 0.2232 0.2500
Y3 Y 0.0000 0.4787 0.7500
Y4 Y 0.2457 0.1304 0.7364